Compound: TaTi2AlN
Source: the Alexandria database
Functional: PBE
Structure: optimized geometry

## Properties
Uncorrected formation energy (eV per atom): -0.7626
VASP energy (Ha/atom): -0.3199
Magnetization (μB per formula unit): 0.00

Unit cell a=4.0736 b=4.0736 c=4.3525 alpha=90.00 beta=90.00 gamma=90.00
Fractional positions:
1 Ti 0.5000 0.0000 0.0000
2 Ta 0.0000 0.0000 0.5000
3 Al 0.5000 0.5000 0.5000
4 Ti 0.0000 0.5000 0.0000
5 N 0.0000 0.0000 0.0000